# CeURe | Alexandria via LeMat-Bulk | PBE | relaxed
# Crystal system   tetragonal
# Electronic total energy   -9.783 eV/atom
data_CeURe
_space_group_name_H-M_alt 'I 4 m m'
_space_group_IT_number 107
_space_group_name_Hall 'I 4 -2'
_cell_length_a 3.450
_cell_length_b 3.450
_cell_length_c 10.218
_cell_angle_alpha 90.00
_cell_angle_beta 90.00
_cell_angle_gamma 90.00
loop_
_atom_site_label
_atom_site_type_symbol
_atom_site_fract_x
_atom_site_fract_y
_atom_site_fract_z
Ce1 Ce 0.000 0.000 0.000
U1 U 0.000 0.000 0.662
Re1 Re 0.000 0.000 0.311